No. 1
Y2Hg2I | PBE | relaxed

Energy relative to the lowest polymorph listed for this composition in meV per atom: 0.0
ΔE_f (raw) in kJ per mole of atoms: -51.5
Space group: P4/mbm, No. 127

a b c (Å): 8.289 8.289 4.179
angles (deg): 90.00 90.00 90.00
Positions (direct):
Y 0.159 0.341 0.000
Y 0.341 0.841 0.000
Y 0.659 0.159 0.000
Y 0.841 0.659 0.000
Hg 0.138 0.638 0.500
Hg 0.362 0.138 0.500
Hg 0.638 0.862 0.500
Hg 0.862 0.362 0.500
I 0.000 0.000 0.000
I 0.500 0.500 0.000

---

No. 2
Y2HgI | PBE | relaxed

Energy relative to the lowest polymorph listed for this composition in meV per atom: 0.0
ΔE_f (raw) in kJ per mole of atoms: -56.6
Space group: R3m, No. 160

a b c (Å): 9.224 9.224 9.224
angles (deg): 24.22 24.22 24.22
Positions (direct):
Y 0.000 0.000 0.000
Y 0.173 0.173 0.173
Hg 0.587 0.587 0.587
I 0.419 0.419 0.419